An optimized crystal structure of BaAlGe2Au, computed with GGA-PBE.

Total energy ... -4.1107 eV per atom

abc: 6.239 6.239 6.239
angles: 135.76 135.76 64.35
Fractional positions:
Au 0.366 0.366 0.000
Ge 0.739 0.239 0.500
Ge 0.239 0.739 0.500
Al 0.611 0.611 0.000
Ba 0.990 0.990 0.000

***

An optimized crystal structure of BaAl2GeAu, computed with GGA-PBE.

Total energy ... -4.0042 eV per atom

abc: 6.483 6.483 6.483
angles: 139.43 139.43 58.72
Fractional positions:
Ba 0.998 0.998 0.000
Au 0.357 0.357 0.000
Al 0.744 0.244 0.500
Al 0.244 0.744 0.500
Ge 0.602 0.602 0.000

***

An optimized crystal structure of BaAl2InAu, computed with GGA-PBE.

Total energy ... -3.5432 eV per atom

abc: 6.700 6.700 6.700
angles: 139.64 139.64 58.40
Fractional positions:
Ba 0.014 0.014 0.000
Al 0.271 0.771 0.500
Al 0.771 0.271 0.500
Au 0.377 0.377 0.000
In 0.625 0.625 0.000

***

An optimized crystal structure of BaMgAlAu, computed with GGA-PBE.

Distance to the lowest polymorph of the same formula ... 60 meV per atom

abc: 5.157 5.157 5.157
angles: 60.00 60.00 60.00
Fractional positions:
Au 0.750 0.750 0.750
Mg 0.000 0.000 0.000
Al 0.500 0.500 0.500
Ba 0.250 0.250 0.250